! GGA-PBE BaBe2Mo, relaxed; values from VASP
&SYSTEM
  ibrav = 0, nat = 4, ntyp = 3
/
ATOMIC_SPECIES
Ba 137.33 Ba.upf
Be 9.01 Be.upf
Mo 95.94 Mo.upf
CELL_PARAMETERS angstrom
4.9811 0.0000 0.0000
0.0000 4.9811 0.0000
0.0000 0.0000 2.8764
ATOMIC_POSITIONS angstrom
Ba 0.0000 0.0000 0.0000
Be 0.0000 2.4905 1.4382
Be 2.4905 0.0000 1.4382
Mo 2.4905 2.4905 0.0000
! Energy above the lowest structure with this stoichiometry: 595.2 meV per atom
! Spin magnetization: 0.000 μB per formula unit
! Formation energy: 24.4 kcal/mol of atoms
! Crystal system: tetragonal
! SG: P4/mmm, No. 123

=====

! GGA-PBE Pu3GeIr, relaxed; values from VASP
&SYSTEM
  ibrav = 0, nat = 10, ntyp = 3
/
ATOMIC_SPECIES
Pu 244.00 Pu.upf
Ge 72.64 Ge.upf
Ir 192.22 Ir.upf
CELL_PARAMETERS angstrom
4.7663 0.0000 0.0000
0.0000 6.8349 0.0000
0.0000 0.0000 6.7242
ATOMIC_POSITIONS angstrom
Pu 1.1916 0.2756 1.5056
Pu 1.1916 1.7087 4.8355
Pu 1.1916 3.1418 1.5056
Pu 3.5747 3.6931 5.2186
Pu 3.5747 5.1262 1.8887
Pu 3.5747 6.5593 5.2186
Ge 1.1916 5.1262 3.7672
Ge 3.5747 1.7087 2.9570
Ir 1.1916 5.1262 6.3278
Ir 3.5747 1.7087 0.3964
! Energy above the lowest structure with this stoichiometry: 0.0 meV per atom
! Spin magnetization: 4.912 μB per formula unit
! Formation energy: -7.9 kcal/mol of atoms
! Crystal system: orthorhombic
! SG: Pmmn, No. 59

=====

! GGA-PBE Rb2GeAu6, relaxed; values from VASP
&SYSTEM
  ibrav = 0, nat = 9, ntyp = 3
/
ATOMIC_SPECIES
Rb 85.47 Rb.upf
Ge 72.64 Ge.upf
Au 196.97 Au.upf
CELL_PARAMETERS angstrom
6.8929 0.0000 0.0000
-3.4465 5.9695 0.0000
0.0000 0.0000 6.7097
ATOMIC_POSITIONS angstrom
Rb 0.0000 3.9796 2.4034
Rb 3.4465 1.9898 4.3063
Ge 0.0000 0.0000 0.0000
Au 0.0000 2.3965 5.8382
Au -1.3711 4.7712 5.8382
Au 2.0754 1.1982 0.8715
Au 1.3711 4.7712 5.8382
Au 4.8175 1.1982 0.8715
Au 3.4465 3.5730 0.8715
! Spin magnetization: 0.000 μB per formula unit
! Formation energy: -3.6 kcal/mol of atoms
! Crystal system: trigonal
! SG: P-3m1, No. 164

=====

! GGA-PBE La2Dy5Bi3C2, relaxed; values from VASP
&SYSTEM
  ibrav = 0, nat = 12, ntyp = 4
/
ATOMIC_SPECIES
La 138.91 La.upf
Dy 162.50 Dy.upf
Bi 208.98 Bi.upf
C 12.01 C.upf
CELL_PARAMETERS angstrom
-2.4582 2.4582 13.2583
2.4582 -2.4582 13.2583
2.4582 2.4582 -13.2583
ATOMIC_POSITIONS angstrom
La 0.0000 0.0000 5.0989
La 0.0000 0.0000 21.4177
Dy 0.0000 0.0000 0.0000
Dy 2.4582 0.0000 2.4078
Dy 2.4582 0.0000 10.8505
Dy 0.0000 2.4582 2.4078
Dy 0.0000 2.4582 10.8505
Bi 0.0000 0.0000 8.5617
Bi 0.0000 0.0000 13.2583
Bi 0.0000 0.0000 17.9548
C 0.0000 0.0000 2.4890
C 0.0000 0.0000 24.0275
! Spin magnetization: 0.004 μB per formula unit
! Formation energy: -15.4 kcal/mol of atoms
! Crystal system: tetragonal
! SG: I4/mmm, No. 139